#i
Zr2TlIr after structural relaxation, computed with PBE-GGA.

a = 7.6703 Å, b = 7.6703 Å, c = 6.2577 Å
α = 52.20°, β = 52.20°, γ = 90.00°
Fractional positions:
Ir1 0.5000 0.5000 0.0000
Ir2 0.2500 0.7500 0.5000
Zr1 0.5782 0.1250 0.2500
Zr2 0.1718 0.6250 0.2500
Zr3 0.8750 0.8282 0.7500
Zr4 0.3750 0.4218 0.7500
Tl1 0.7500 0.2500 0.5000
Tl2 0.0000 0.0000 0.0000

Output
- Density of states at the Fermi level: 3.5 states/eV/cell
- SG: I-42d



#ii
Zr2TlIr after structural relaxation, computed with PBE-GGA.

a = 6.0626 Å, b = 6.0626 Å, c = 6.0626 Å
α = 147.52°, β = 134.50°, γ = 57.01°
Fractional positions:
Zr1 0.9935 0.9935 0.0000
Zr2 0.7108 0.2108 0.5000
Tl1 0.2834 0.7834 0.5000
Ir1 0.5123 0.5123 0.0000

Output
- Density of states at the Fermi level: 3.7 states/eV/cell
- SG: Imm2



#iii
Zr2TlIr after structural relaxation, computed with PBE-GGA.

a = 5.0964 Å, b = 5.0964 Å, c = 3.2058 Å
α = 89.97°, β = 89.97°, γ = 105.42°
Fractional positions:
Ir1 0.5000 0.0000 0.5000
Zr1 0.5000 0.5000 0.0000
Zr2 0.0000 0.0000 0.0000
Tl1 0.0000 0.5000 0.5000

Output
- Density of states at the Fermi level: 3.8 states/eV/cell
- SG: Cmmm



Pick #ii: it beats the second-best structure by 0.022 eV/atom.